Here is SnP3W at its PBEsol-relaxed geometry from the Alexandria database. Energies are from SCAN.

## Properties
ΔH_f (0 K) in eV per atom: 0.58
V in Å³/f.u.: 104
E in eV/atom: -26.780
DOS at the Fermi energy in states/eV/f.u.: 3.01

a b c (Å): 4.7010 4.7010 4.7010
angles (deg): 90.00 90.00 90.00
Space group Pm-3m (No. 221)
Symmetry-distinct sites (fractional):
Sn (0.0000, 0.0000, 0.0000) x1
P (0.0000, 0.5000, 0.5000) x3
W (0.5000, 0.5000, 0.5000) x1